(1)
DFT (PBE-GGA) results for a relaxed structure of CdIn2Ag.

Calculated values
ΔH_f (0 K) = 0.0259 eV per atom
total DFT energy (no corrections) = -9.14 eV per formula unit
magnetic moment = 0.0 μB per formula unit

a b c (Å): 3.4080 3.4080 27.9574
angles (deg): 90.00 90.00 120.00
Space group R3m (No. 160, hexagonal axes)
One atom of each set of equivalent atoms:
Cd (0.0000, 0.0000, 0.0000) x3
In (0.0000, 0.0000, 0.2471) x3
In (0.0000, 0.0000, 0.4874) x3
Ag (0.0000, 0.0000, 0.7431) x3



(2)
DFT (PBE-GGA) results for a relaxed structure of ZnCrMo3.

Calculated values
ΔH_f (0 K) = 1.2002 eV per atom
E above lowest polymorph = 0.000 eV per atom
total DFT energy (no corrections) = -37.39 eV per formula unit
magnetic moment = 0.0 μB per formula unit

a b c (Å): 4.4790 4.4790 4.4790
angles (deg): 90.00 90.00 90.00
Space group Pm-3m (No. 221)
One atom of each set of equivalent atoms:
Zn (0.0000, 0.0000, 0.0000) x1
Cr (0.5000, 0.5000, 0.5000) x1
Mo (0.0000, 0.5000, 0.5000) x3



(3)
DFT (PBE-GGA) results for a relaxed structure of RbSeS3.

Calculated values
energy relative to the elements, uncorrected = 0.026 eV/atom
E above lowest polymorph = 0.346 eV per atom
total DFT energy (no corrections) = -16.71 eV per formula unit
magnetic moment = 0.0 μB per formula unit

a b c (Å): 4.9764 4.9764 4.9764
angles (deg): 90.00 90.00 90.00
Space group Pm-3m (No. 221)
One atom of each set of equivalent atoms:
Rb (0.0000, 0.0000, 0.0000) x1
Se (0.5000, 0.5000, 0.5000) x1
S (0.0000, 0.5000, 0.5000) x3



(4)
DFT (PBE-GGA) results for a relaxed structure of KBeCo.

Calculated values
ΔH_f (0 K) = 1.2537 eV per atom
E above lowest polymorph = 0.718 eV per atom
total DFT energy (no corrections) = -8.17 eV per formula unit
magnetic moment = 1.3 μB per formula unit

a b c (Å): 4.8143 4.8143 2.6689
angles (deg): 90.00 90.00 120.00
Space group P3m1 (No. 156)
One atom of each set of equivalent atoms:
K (0.0000, 0.0000, 0.0000) x1
Be (0.6667, 0.3333, 0.4960) x1
Co (0.3333, 0.6667, 0.5033) x1



(5)
DFT (PBE-GGA) results for a relaxed structure of K2LiMo.

Calculated values
ΔH_f (0 K) = 1.0903 eV per atom
E above lowest polymorph = 0.076 eV per atom
total DFT energy (no corrections) = -10.58 eV per formula unit
magnetic moment = 0.2 μB per formula unit

a b c (Å): 3.6242 4.7144 12.6095
angles (deg): 90.00 90.00 90.00
Space group Cmmm (No. 65)
One atom of each set of equivalent atoms:
K (0.0000, 0.0000, 0.2313) x4
Li (0.0000, 0.5000, 0.5000) x2
Mo (0.0000, 0.5000, 0.0000) x2



(6)
DFT (PBE-GGA) results for a relaxed structure of UPd5Au2.

Calculated values
ΔH_f (0 K) = -0.3379 eV per atom
E above lowest polymorph = 0.000 eV per atom
total DFT energy (no corrections) = -46.51 eV per formula unit
magnetic moment = 1.6 μB per formula unit

a b c (Å): 5.8327 7.8295 12.0498
angles (deg): 90.00 90.00 90.00
Space group Fmmm (No. 69)
One atom of each set of equivalent atoms:
U (0.0000, 0.0000, 0.0000) x4
Pd (0.0000, 0.0000, 0.5000) x4
Pd (0.2500, 0.2500, 0.1245) x16
Au (0.0000, 0.0000, 0.2569) x8